First-principles (PBE) data for a geometry-optimized InCuNiGe structure, as listed in OQMD via LeMat-Bulk.

The structure in extended XYZ format:
```
4
Lattice="0.0000 3.1402 3.1402 3.1402 0.0000 3.1402 3.1402 3.1402 0.0000" Properties=species:S:1:pos:R:3 pbc="T T T"
Cu 4.7104 4.7104 4.7104
Ge 3.1402 3.1402 3.1402
In 0.0000 0.0000 0.0000
Ni 1.5701 1.5701 1.5701
```

Properties
- VASP energy: -16.22 eV per cell
- Calculated volume: 61.93 Å³/cell